1.
The following is a DFT calculation (PBE) of an optimized crystal structure of Li2TaFe2.

Summary:
Total moment: 3.51 μB/f.u.
DFT total energy: -6.188 eV/atom
ΔE_f: 1.67 eV per formula unit
V: 72 Å³/cell
Density of states at the Fermi level: 3.0 states/eV per cell
Offset from the most stable computed form: 0.0 meV per atom

Unit cell a=3.3704 b=3.3704 c=6.7558 alpha=75.56 beta=75.56 gamma=90.00
Closest atoms and distances in Å follow each position.
Sites, in units of the cell vectors:
1 Li 0.7500 0.2500 0.5000  4 Li 2.38, 4 Fe 2.66
2 Li 0.2500 0.7500 0.5000  4 Li 2.38, 4 Fe 2.66
3 Fe 0.4123 0.4123 0.1753  1 Fe 2.22
4 Fe 0.5877 0.5877 0.8247  1 Fe 2.22
5 Ta 0.0000 0.0000 0.0000  8 Fe 2.63



2.
The following is a DFT calculation (PBE) of an optimized crystal structure of TcSb2Te.

Summary:
Energy relative to the elements, uncorrected: 564.1 meV/atom
Total moment: 0.00 μB/f.u.
DFT total energy: -4.874 eV/atom
V: 89 Å³/cell
Density of states at the Fermi level: 2.3 states/eV per cell
Offset from the most stable computed form: 505.4 meV per atom

Unit cell a=5.0022 b=5.0022 c=5.0022 alpha=119.75 beta=119.75 gamma=90.44
Closest atoms and distances in Å follow each position.
Sites, in units of the cell vectors:
1 Sb 0.0000 0.0000 0.0000  4 Te 3.07, 4 Sb 3.07
2 Sb 0.2500 0.7500 0.5000  4 Sb 3.07, 4 Tc 3.07
3 Tc 0.5000 0.5000 0.0000  4 Sb 3.07, 4 Te 3.07
4 Te 0.7500 0.2500 0.5000  4 Sb 3.07, 4 Tc 3.07



3.
The following is a DFT calculation (PBE) of an optimized crystal structure of BaSNO2.

Summary:
Energy relative to the elements, uncorrected: -477.1 meV/atom
Total moment: 0.00 μB/f.u.
DFT total energy: -5.335 eV/atom
V: 64 Å³/cell
Density of states at the Fermi level: 3.2 states/eV per cell

Unit cell a=4.1985 b=4.1985 c=3.6536 alpha=90.00 beta=90.00 gamma=90.00
Closest atoms and distances in Å follow each position.
Sites, in units of the cell vectors:
1 S 0.0000 0.0000 0.0000  2 N 1.83
2 Ba 0.5000 0.5000 0.5000  8 O 2.78, 4 N 2.97
3 O 0.0000 0.5000 0.0000  2 S 2.10
4 O 0.5000 0.0000 0.0000  2 S 2.10
5 N 0.0000 0.0000 0.5000  2 S 1.83



4.
The following is a DFT calculation (PBE) of an optimized crystal structure of NaLa2GaCl.

Summary:
Energy relative to the elements, uncorrected: 42.4 meV/atom
Total moment: 0.00 μB/f.u.
DFT total energy: -3.167 eV/atom
V: 226 Å³/cell
Density of states at the Fermi level: 7.5 states/eV per cell

Unit cell a=6.2040 b=5.8808 c=6.2040 alpha=90.00 beta=90.00 gamma=90.00
Closest atoms and distances in Å follow each position.
Sites, in units of the cell vectors:
1 Na 0.5000 0.5000 0.5000  8 La 4.27, 4 Cl 4.39
2 Cl 0.0000 0.5000 0.0000  2 Ga 2.94
3 Ga 0.0000 0.0000 0.0000  2 Cl 2.94, 4 La 3.10
4 La 0.0000 0.0000 0.5000  2 Ga 3.10
5 La 0.5000 0.0000 0.0000  2 Ga 3.10



5.
The following is a DFT calculation (PBE) of an optimized crystal structure of SrCd2Cu.

Summary:
Total moment: 0.00 μB/f.u.
DFT total energy: -1.773 eV/atom
ΔE_f: 0.51 eV per formula unit
V: 106 Å³/cell
Density of states at the Fermi level: 1.8 states/eV per cell

Unit cell a=6.4913 b=6.4913 c=3.7421 alpha=74.76 beta=74.76 gamma=124.86
Closest atoms and distances in Å follow each position.
Sites, in units of the cell vectors:
1 Cd 0.0000 0.0000 0.0000  4 Cd 3.00-3.20, 2 Sr 3.29, 2 Cu 3.29
2 Cd 0.5000 0.5000 0.0000  4 Cd 3.00-3.20, 2 Cu 3.29, 2 Sr 3.29
3 Cu 0.5000 0.0000 0.5000  4 Sr 3.00-3.20, 4 Cd 3.29
4 Sr 0.0000 0.5000 0.5000  4 Cu 3.00-3.20, 4 Cd 3.29



6.
The following is a DFT calculation (PBE) of an optimized crystal structure of BaTl2Hg.

Summary:
Total moment: 0.00 μB/f.u.
DFT total energy: -2.005 eV/atom
ΔE_f: -1.06 eV per formula unit
V: 138 Å³/cell
Density of states at the Fermi level: 2.2 states/eV per cell
Offset from the most stable computed form: 67.0 meV per atom

Unit cell a=4.9368 b=4.0838 c=7.0956 alpha=74.69 beta=90.00 gamma=90.00
Closest atoms and distances in Å follow each position.
Sites, in units of the cell vectors:
1 Tl 0.0000 0.8162 0.0206  2 Hg 3.08, 4 Tl 3.37-3.43
2 Tl 0.5000 0.2277 0.1865  4 Tl 3.37-3.43, 2 Hg 3.60-3.61
3 Hg 0.5000 0.9293 0.7527  2 Tl 3.08
4 Ba 0.0000 0.5268 0.5401  4 Hg 3.52, 5 Tl 3.56-3.94



7.
The following is a DFT calculation (PBE) of an optimized crystal structure of TaTcMoN2.

Summary:
Energy relative to the elements, uncorrected: 1336.4 meV/atom
Total moment: 0.00 μB/f.u.
DFT total energy: -8.604 eV/atom
V: 82 Å³/cell
Density of states at the Fermi level: 5.8 states/eV per cell

Unit cell a=3.8236 b=5.6185 c=3.8236 alpha=90.00 beta=90.00 gamma=90.00
Closest atoms and distances in Å follow each position.
Sites, in units of the cell vectors:
1 Mo 0.0000 0.0000 0.0000  4 N 1.91
2 N 0.0000 0.0000 0.5000  2 Mo 1.91
3 N 0.5000 0.0000 0.0000  2 Mo 1.91
4 Tc 0.5000 0.5000 0.5000  4 Ta 2.70
5 Ta 0.0000 0.5000 0.0000  4 Tc 2.70, 2 Mo 2.81



8.
The following is a DFT calculation (PBE) of an optimized crystal structure of NaNbNO2.

Summary:
Energy relative to the elements, uncorrected: -1415.3 meV/atom
Total moment: 1.01 μB/f.u.
DFT total energy: -7.341 eV/atom
V: 67 Å³/cell
Density of states at the Fermi level: 2.2 states/eV per cell

Unit cell a=4.0332 b=4.0332 c=4.1006 alpha=90.00 beta=90.00 gamma=90.00
Closest atoms and distances in Å follow each position.
Sites, in units of the cell vectors:
1 Na 0.5000 0.5000 0.5000  4 N 2.85, 8 O 2.88
2 Nb 0.0000 0.0000 0.0000  4 O 2.02, 2 N 2.05
3 O 0.0000 0.5000 0.0000  2 Nb 2.02
4 O 0.5000 0.0000 0.0000  2 Nb 2.02
5 N 0.0000 0.0000 0.5000  2 Nb 2.05